RbPmSO: optimized geometry, GGA-PBE. Values from VASP.

Computed properties:
Uncorrected energy   -5.635 eV per atom
V   22.477 Å³ per atom

Quantum ESPRESSO input file:
```
&SYSTEM
  ibrav = 0, nat = 8, ntyp = 4
/
ATOMIC_SPECIES
O 16.00 O.upf
Pm 145.00 Pm.upf
Rb 85.47 Rb.upf
S 32.06 S.upf
CELL_PARAMETERS angstrom
4.2319 0.0000 0.0000
0.0000 4.2319 0.0000
0.0000 0.0000 10.0408
ATOMIC_POSITIONS crystal
O 0.7500 0.2500 0.0000
O 0.2500 0.7500 0.0000
Pm 0.2500 0.2500 0.1033
Pm 0.7500 0.7500 0.8967
Rb 0.7500 0.2500 0.5000
Rb 0.2500 0.7500 0.5000
S 0.7500 0.7500 0.2706
S 0.2500 0.2500 0.7294
```